Here is an optimized crystal structure of CaCoAg2F8 from Alexandria via LeMat-Bulk. Energies are from PBE+U.

Properties
The calculation puts the total moment at 5.1 μB per formula unit. The value obtained for the volume is 15.1 Å³ per atom. Its total energy is -50.6 eV/cell. The space group is I-4m2.

Cell lengths 6.187, 6.187, 6.187 Å; angles 112.47, 112.47, 103.63 degrees
Last column: magnetic moment on the atom in μB.
Positions (direct):
Ca1 0.000 0.000 0.000  0.00
Co1 0.250 0.750 0.500  3.17
Ag1 0.750 0.250 0.500  0.38
Ag2 0.500 0.500 0.000  0.34
F1 0.337 0.013 0.325  0.14
F2 0.285 0.499 0.214  0.14
F3 0.285 0.071 0.786  0.14
F4 0.688 0.013 0.675  0.14
F5 0.929 0.715 0.214  0.14
F6 0.987 0.312 0.325  0.14
F7 0.987 0.663 0.675  0.14
F8 0.501 0.715 0.786  0.14